Density functional theory data (PBE) for a geometry-optimized CeZr2FeN4 structure.

Calculated values
Formation energy (no corrections) = -1020 kJ/mol of formula units
Total moment = 0.97 μB/f.u.
Fermi-level density of states = 0.550 states/eV/atom
E_tot = -0.6924 Ry per atom

Unit cell a=5.7634 b=5.7634 c=11.0752 alpha=90.00 beta=90.00 gamma=147.31
Closest atoms and distances in Å follow each position.
Positions (direct):
Ce  0.1039  0.8961  0.7500  6 N 2.44-2.58
Ce  0.8961  0.1039  0.2500  6 N 2.44-2.58
Zr  0.3682  0.6318  0.5521  6 N 2.19-2.35
Zr  0.3682  0.6318  0.9479  6 N 2.19-2.35
Zr  0.6318  0.3682  0.0521  6 N 2.19-2.35
Zr  0.6318  0.3682  0.4479  6 N 2.19-2.35
Fe  0.1566  0.8434  0.2500  4 N 1.92-1.94
Fe  0.8434  0.1566  0.7500  4 N 1.92-1.94
N  0.0000  0.0000  0.0000  4 Zr 2.26
N  0.0000  0.0000  0.5000  4 Zr 2.26
N  0.2705  0.7295  0.1195  1 Fe 1.92
N  0.2705  0.7295  0.3805  1 Fe 1.92
N  0.4395  0.5605  0.7500  2 Fe 1.94
N  0.5605  0.4395  0.2500  2 Fe 1.94
N  0.7295  0.2705  0.6195  1 Fe 1.92
N  0.7295  0.2705  0.8805  1 Fe 1.92